[1]
Density functional theory data (GGA-PBE) for a relaxed Ca4Ni crystal.

For the formation energy, the calculation gives 0.1511 eV per atom. The value obtained for the total moment is 0.000 μB per formula unit.

Structure (POSCAR):
```
Ca4Ni
1.0
3.274 3.768 3.403
-4.363 3.096 -2.805
-2.481 -4.244 3.511
Ca Ni
4 1
direct
0.000 0.000 0.500
0.500 0.500 0.500
0.500 0.000 0.000
0.000 0.500 0.000
0.000 0.000 0.000
```

=====

[2]
Density functional theory data (GGA-PBE) for a relaxed SrInRe3 crystal.

For the formation energy, the calculation gives 2.4493 eV per atom. The value obtained for the total moment is 4.182 μB per formula unit.

Structure (POSCAR):
```
SrInRe3
1.0
-4.576 1.069 1.710
-1.773 -0.115 -4.674
-0.960 -4.884 0.484
Re Sr In
3 1 1
direct
0.000 0.000 0.500
0.500 0.000 0.000
0.000 0.500 0.000
0.500 0.500 0.500
0.000 0.000 0.000
```

=====

[3]
Density functional theory data (GGA-PBE) for a relaxed K2CdC4N4 crystal.

Its uncorrected formation energy is -62 meV per atom. The value obtained for the total moment is 0.000 μB per formula unit.

Structure (POSCAR):
```
K2CdC4N4
1.0
-2.016 -3.712 8.206
-7.760 -4.879 1.077
0.423 -9.147 1.156
C N K Cd
8 8 4 2
direct
0.348 0.348 0.955
0.955 0.348 0.348
0.902 0.902 0.902
0.348 0.955 0.348
0.902 0.295 0.902
0.902 0.902 0.295
0.295 0.902 0.902
0.348 0.348 0.348
0.400 0.400 0.400
0.400 0.799 0.400
0.850 0.850 0.850
0.850 0.850 0.451
0.400 0.400 0.799
0.799 0.400 0.400
0.451 0.850 0.850
0.850 0.451 0.850
0.125 0.625 0.625
0.625 0.625 0.625
0.625 0.125 0.625
0.625 0.625 0.125
0.000 0.000 0.000
0.250 0.250 0.250
```

=====

[4]
Density functional theory data (GGA-PBE) for a relaxed RbCuPdSe5 crystal.

Its uncorrected formation energy is -433 meV per atom. The value obtained for the total moment is 0.000 μB per formula unit.

Structure (POSCAR):
```
RbCuPdSe5
1.0
7.413 0.000 0.000
0.000 6.392 -0.004
0.000 2.096 9.087
Pd Cu Se Rb
2 2 10 2
direct
0.000 0.500 0.500
0.500 0.500 0.500
0.250 0.110 0.392
0.750 0.890 0.608
0.250 0.727 0.367
0.991 0.314 0.292
0.750 0.045 0.348
0.250 0.700 0.116
0.009 0.686 0.708
0.509 0.314 0.292
0.750 0.273 0.633
0.750 0.300 0.884
0.250 0.955 0.652
0.491 0.686 0.708
0.250 0.253 0.949
0.750 0.747 0.051
```

=====

Among the records above, which one has the highest total moment? SrInRe3